Entry 1:
First-principles (GGA-PBE) data for a relaxed Be2InFe crystal, as listed in Alexandria.

Results
The total energy comes out at -4.396 eV/atom. As for the crystal system: tetragonal. The value obtained for the density of states at the Fermi level is 0.61 states/eV/atom. Its total magnetization is 1.1 μB per formula unit. The calculation puts the formation energy at 267.4 meV per atom.

a b c (Å): 2.877 2.877 5.978
angles (deg): 90.00 90.00 90.00
Last column: magnetic moment on the atom in μB.
Sites, in units of the cell vectors:
Be 0.000 0.000 0.068  0.00
Be 0.500 0.500 0.258  -0.04
Fe 0.000 0.000 0.430  1.12
In 0.500 0.500 0.744  -0.03

***

Entry 2:
First-principles (GGA-PBE) data for a relaxed CaInCo2 crystal, as listed in Alexandria.

Results
The total energy comes out at -4.448 eV/atom. As for the crystal system: tetragonal. The value obtained for the density of states at the Fermi level is 1.48 states/eV/atom. Its total magnetization is 0.9 μB per formula unit. The calculation puts the formation energy at 289.5 meV per atom.

a b c (Å): 4.453 4.453 3.373
angles (deg): 90.00 90.00 89.98
Last column: magnetic moment on the atom in μB.
Sites, in units of the cell vectors:
Ca 0.000 0.500 0.500  -0.04
Co 0.000 0.000 0.000  0.53
Co 0.500 0.500 0.000  0.53
In 0.500 0.000 0.500  -0.04

***

Entry 3:
First-principles (GGA-PBE) data for a relaxed Ba2CdBiAu6 crystal, as listed in Alexandria.

Results
The total energy comes out at -3.083 eV/atom. As for the crystal system: cubic. The value obtained for the density of states at the Fermi level is 0.41 states/eV/atom. Its total magnetization is 0.0 μB per formula unit. The calculation puts the formation energy at -252.5 meV per atom.

a b c (Å): 7.632 7.632 7.632
angles (deg): 60.00 60.00 90.00
Sites, in units of the cell vectors:
Ba 0.250 0.750 0.500
Ba 0.750 0.250 0.500
Cd 0.500 0.500 0.000
Bi 0.000 0.000 0.000
Au 0.255 0.745 0.000
Au 0.745 0.745 0.000
Au 0.255 0.255 0.489
Au 0.745 0.255 0.000
Au 0.255 0.255 0.000
Au 0.745 0.745 0.511

***

Entry 4:
First-principles (GGA-PBE) data for a relaxed CaTb3Y6Er2 crystal, as listed in Alexandria.

Results
The total energy comes out at -5.260 eV/atom. As for the crystal system: monoclinic. The value obtained for the density of states at the Fermi level is 1.68 states/eV/atom. Its total magnetization is 0.0 μB per formula unit. The calculation puts the formation energy at 56.5 meV per atom.

a b c (Å): 6.204 6.204 11.856
angles (deg): 95.00 95.00 119.97
Sites, in units of the cell vectors:
Ca 0.000 0.000 0.000
Tb 0.166 0.834 0.500
Tb 0.834 0.166 0.500
Tb 0.500 0.500 0.500
Y 0.915 0.576 0.748
Y 0.745 0.745 0.252
Y 0.085 0.424 0.252
Y 0.576 0.915 0.748
Y 0.255 0.255 0.748
Y 0.424 0.085 0.252
Er 0.333 0.667 0.000
Er 0.667 0.333 0.000